# 1
Density functional theory data (PBE) for a geometry-optimized Ba2Al12ZnIr3 structure.

Summary:
- ΔE_f: -108 meV per atom
- Total energy: -78.6 eV/cell
- Calculated volume: 27.02 Å³ per atom

```
Ba2Al12ZnIr3
1.0
-8.079 -1.118 -0.532
-1.328 -4.769 -6.503
-1.563 -7.509 2.823
Ba Al Zn Ir
2 12 1 3
Cartesian
-7.387 -9.021 -2.836
-3.583 -4.375 -1.376
-3.790 -8.421 0.864
-8.859 -7.647 -5.339
-5.170 -11.265 -3.440
-8.203 -4.092 -1.409
-8.992 -9.198 -0.059
-3.631 -6.565 -5.453
-7.180 -4.975 -5.075
-2.111 -5.749 1.128
-5.800 -2.131 -0.772
-2.768 -9.303 -2.803
-1.979 -4.197 -4.152
-7.339 -6.831 1.241
0.000 0.000 0.000
-4.039 -0.559 -0.266
-0.664 -2.384 -3.252
-0.782 -3.754 1.412
```


# 2
Density functional theory data (PBE) for a geometry-optimized BaNaCa2Cu structure.

Summary:
- ΔE_f: 8 meV per atom
- Total energy: -11.3 eV/cell
- Calculated volume: 41.58 Å³ per atom

```
BaNaCa2Cu
1.0
5.775 0.000 0.000
0.000 5.775 0.000
0.000 0.000 6.234
Na Ca Ba Cu
1 2 1 1
Cartesian
2.888 2.888 3.117
0.000 2.888 0.000
2.888 0.000 0.000
0.000 0.000 3.117
0.000 0.000 0.000
```


Question: Among the records above, which one has the highest calculated volume?
Answer: BaNaCa2Cu


Question: The lowest total energy belongs to which entry?
Answer: Ba2Al12ZnIr3


Question: Look up the total energy of the second one.
Answer: -11.3 eV/cell


Repeat the first record exactly.
Density functional theory data (PBE) for a geometry-optimized Ba2Al12ZnIr3 structure.

Summary:
- ΔE_f: -108 meV per atom
- Total energy: -78.6 eV/cell
- Calculated volume: 27.02 Å³ per atom

```
Ba2Al12ZnIr3
1.0
-8.079 -1.118 -0.532
-1.328 -4.769 -6.503
-1.563 -7.509 2.823
Ba Al Zn Ir
2 12 1 3
Cartesian
-7.387 -9.021 -2.836
-3.583 -4.375 -1.376
-3.790 -8.421 0.864
-8.859 -7.647 -5.339
-5.170 -11.265 -3.440
-8.203 -4.092 -1.409
-8.992 -9.198 -0.059
-3.631 -6.565 -5.453
-7.180 -4.975 -5.075
-2.111 -5.749 1.128
-5.800 -2.131 -0.772
-2.768 -9.303 -2.803
-1.979 -4.197 -4.152
-7.339 -6.831 1.241
0.000 0.000 0.000
-4.039 -0.559 -0.266
-0.664 -2.384 -3.252
-0.782 -3.754 1.412
```